Computed, not measured: a relaxed MnTc2Ru crystal at the PBE level of DFT.

The electronic total energy comes out at -9.685 eV/atom. The value obtained for the formation enthalpy at 0 K is 0.109 eV/atom. The energy relative to the lowest polymorph listed for this composition is 54 meV/atom.

It has space group R3m (No. 160, hexagonal axes), with a = 2.7002 Å, b = 2.7002 Å, c = 26.1926 Å, α = 90.00°, β = 90.00° and γ = 120.00°. The inequivalent atoms are Mn at (0.0000, 0.0000, 0.0000), Tc at (0.0000, 0.0000, 0.2511), Tc at (0.0000, 0.0000, 0.4997) and Ru at (0.0000, 0.0000, 0.7449).